Compound: Ac5LaIr3
Source: Alexandria
Functional: GGA-PBE
Structure: relaxed

As for the calculated volume: 662.4 Å³ per cell. As for the crystal system: monoclinic. The calculation puts the magnetization at 0.00 μB/cell.

abc: 6.998 4.438 21.336
angles: 90.00 91.32 90.00
Space group P2/m (No. 10)
Asymmetric unit:
Ac 0.203 0.000 0.395
Ac 0.228 0.000 0.060
Ac 0.269 0.500 0.891
Ac 0.290 0.500 0.229
Ac 0.295 0.500 0.564
La 0.214 0.000 0.728
Ir 0.000 0.500 0.000
Ir 0.012 0.500 0.670
Ir 0.488 0.000 0.831
Ir 0.500 0.000 0.500

Compound: TbPuMgCd
Source: Alexandria
Functional: GGA-PBE
Structure: relaxed

As for the calculated volume: 431.3 Å³ per cell. As for the crystal system: cubic. The calculation puts the magnetization at 25.50 μB/cell.

abc: 7.555 7.555 7.555
angles: 90.00 90.00 90.00
Space group F-43m (No. 216)
Asymmetric unit:
Tb 0.000 0.000 0.000
Pu 0.000 0.000 0.500
Mg 0.250 0.250 0.750
Cd 0.250 0.250 0.250

Compound: Tb2AlGa2Ru5
Source: Alexandria
Functional: GGA-PBE
Structure: relaxed

As for the calculated volume: 335.3 Å³ per cell. As for the crystal system: tetragonal. The calculation puts the magnetization at 2.23 μB/cell.

abc: 9.936 9.936 3.396
angles: 90.00 90.00 90.00
Space group P4/mbm (No. 127)
Asymmetric unit:
Tb 0.170 0.330 0.000
Al 0.000 0.000 0.000
Ga 0.131 0.631 0.000
Ru 0.000 0.500 0.500
Ru 0.063 0.807 0.500

Listing formation energy for the structures above in their given order: -586; -3; -354 meV per atom.
Listing DOS(E_F) for the structures above in their given order: 11.7; 34.6; 23.1 states/eV/cell.
Listing electronic total energy for the structures above in their given order: -6.369; -5.370; -6.898 eV/atom.